Entry 1:
A geometry-optimized Th3Fe2 structure. Source: the Alexandria database, functional PBE-GGA.

a b c (Å): 6.764 6.764 7.332
angles (deg): 62.53 62.53 60.00
Sites, in units of the cell vectors:
Fe1 0.827 0.827 0.520
Fe2 0.327 0.327 0.020
Fe3 0.173 0.173 0.480
Fe4 0.673 0.673 0.980
Th1 0.092 0.750 0.750
Th2 0.750 0.408 0.750
Th3 0.408 0.092 0.750
Th4 0.250 0.592 0.250
Th5 0.592 0.908 0.250
Th6 0.908 0.250 0.250

Results
The value obtained for the size of the total moment is 0.000 μB/f.u. The value obtained for the density of states at the Fermi level is 0.895 states/eV/atom. The value obtained for the formation enthalpy at 0 K is -0.006 eV/atom.

---

Entry 2:
A geometry-optimized Th2TiFe structure. Source: the Alexandria database, functional PBE-GGA.

a b c (Å): 3.650 3.650 9.580
angles (deg): 79.02 79.02 60.00
Sites, in units of the cell vectors:
Fe1 0.500 0.500 0.500
Th1 0.109 0.109 0.674
Th2 0.891 0.891 0.326
Ti1 0.000 0.000 0.000

Results
The value obtained for the size of the total moment is 2.319 μB/f.u. The value obtained for the density of states at the Fermi level is 1.263 states/eV/atom. The value obtained for the formation enthalpy at 0 K is 0.585 eV/atom.

---

Entry 3:
A geometry-optimized Th2Ti2Fe15 structure. Source: the Alexandria database, functional PBE-GGA.

a b c (Å): 6.498 6.498 6.498
angles (deg): 81.62 81.62 81.62
Sites, in units of the cell vectors:
Th1 0.350 0.350 0.350
Th2 0.650 0.650 0.650
Ti1 0.101 0.101 0.101
Ti2 0.899 0.899 0.899
Fe1 0.000 0.500 0.000
Fe2 0.000 0.000 0.500
Fe3 0.500 0.000 0.000
Fe4 0.704 0.000 0.296
Fe5 0.296 0.704 0.000
Fe6 0.000 0.296 0.704
Fe7 0.704 0.296 0.000
Fe8 0.000 0.704 0.296
Fe9 0.296 0.000 0.704
Fe10 0.658 0.158 0.658
Fe11 0.658 0.658 0.158
Fe12 0.158 0.658 0.658
Fe13 0.342 0.842 0.342
Fe14 0.342 0.342 0.842
Fe15 0.842 0.342 0.342

Results
The value obtained for the size of the total moment is 28.579 μB/f.u. The value obtained for the density of states at the Fermi level is 1.075 states/eV/atom. The value obtained for the formation enthalpy at 0 K is -0.097 eV/atom.

---

Which of these has the lowest size of the total moment?
Th3Fe2